# 1
12
Lattice="7.8849 -1.7905 0.0000 7.8849 1.7905 0.0000 -1.8251 0.0000 7.0194" Properties=species:S:1:pos:R:3 comment="GGA-PBE Sr3PuU2N6, optimized geometry" spacegroup=C2/m vol_a3_per_atom=16.5 dft_energy_ha_per_atom=-0.3239 formation_energy_uncorrected_mev_per_atom=-1156 n_ef_per_ev_atom=1.096 magnetic_moment_mub_per_cell=7.947 pbc="T T T"
Sr 0.0000 0.0000 0.0000
Sr 4.0742 0.0000 4.6746
Sr 9.8705 0.0000 2.3448
Pu -0.9125 0.0000 3.5097
U 4.9512 0.0000 1.1913
U 8.9936 0.0000 5.8281
N 1.4040 0.0000 4.3815
N 2.7511 0.0000 0.3432
N 7.0858 0.0000 1.8729
N 6.8590 0.0000 5.1465
N 11.1936 0.0000 6.6762
N 12.5407 0.0000 2.6379

=====

# 2
8
Lattice="6.1848 0.0000 0.0000 0.0000 3.5817 0.0000 -2.0850 0.0000 5.9583" Properties=species:S:1:pos:R:3 comment="GGA-PBE Sr2PuUN4, optimized geometry" spacegroup=P2/m vol_a3_per_atom=16.5 dft_energy_ha_per_atom=-0.3283 formation_energy_uncorrected_mev_per_atom=-1148 n_ef_per_ev_atom=1.103 magnetic_moment_mub_per_cell=5.991 pbc="T T T"
Sr 0.0000 0.0000 0.0000
Sr 3.0924 1.7909 0.0000
Pu -1.0425 1.7909 2.9791
U 2.0499 0.0000 2.9791
N 0.0928 0.0000 4.1262
N 1.1196 1.7909 1.8109
N 2.9801 1.7909 4.1474
N 4.0070 0.0000 1.8320

=====

# 3
15
Lattice="3.4212 1.9752 5.9713 -3.4212 1.9752 5.9713 0.0000 -3.9505 5.9713" Properties=species:S:1:pos:R:3 comment="GGA-PBE Sr3Pu3WN8, optimized geometry" spacegroup=R-3m vol_a3_per_atom=16.1 dft_energy_ha_per_atom=-0.3470 formation_energy_uncorrected_mev_per_atom=-937 n_ef_per_ev_atom=1.362 magnetic_moment_mub_per_cell=12.001 pbc="T T T"
Sr -1.7106 -0.9876 5.9713
Sr -1.7106 0.9876 11.9425
Sr 0.0000 1.9752 5.9713
Pu -3.4212 0.0000 8.9569
Pu -1.7106 0.9876 2.9856
Pu 1.7106 0.9876 2.9856
W 0.0000 0.0000 8.9569
N 0.0000 0.0000 4.2004
N -1.5541 -0.8973 10.0565
N 0.0000 -1.7945 7.8573
N -1.5541 0.8972 7.8573
N 1.5541 -0.8973 10.0565
N 0.0000 1.7945 10.0565
N 1.5541 0.8973 7.8573
N 0.0000 0.0000 13.7134

=====

# 4
8
Lattice="6.0820 0.0000 0.0000 0.0000 3.5890 0.0000 -1.9787 0.0000 5.9881" Properties=species:S:1:pos:R:3 comment="GGA-PBE Sr2YPuN4, optimized geometry" spacegroup=P2/m vol_a3_per_atom=16.3 dft_energy_ha_per_atom=-0.3049 formation_energy_uncorrected_mev_per_atom=-1114 n_ef_per_ev_atom=0.766 magnetic_moment_mub_per_cell=3.001 pbc="T T T"
Sr 0.0000 0.0000 0.0000
Sr 3.0410 1.7945 0.0000
Y -0.9894 1.7945 2.9941
Pu 2.0516 0.0000 2.9941
N 0.2140 0.0000 4.1874
N 1.0742 1.7945 1.7532
N 3.0291 1.7945 4.2349
N 3.8892 0.0000 1.8007

=====

# 5
12
Lattice="7.3523 0.0000 0.0000 0.0000 3.6553 0.0000 -2.1075 0.0000 9.6526" Properties=species:S:1:pos:R:3 comment="GGA-PBE SrYPuN3, optimized geometry" spacegroup=P2_1/m vol_a3_per_atom=21.6 dft_energy_ha_per_atom=-0.3229 formation_energy_uncorrected_mev_per_atom=-878 n_ef_per_ev_atom=0.690 magnetic_moment_mub_per_cell=8.000 pbc="T T T"
Sr 1.0072 0.9138 1.2286
Sr 4.2376 2.7415 8.4240
Y 0.9012 2.7415 8.3874
Y 4.3436 0.9138 1.2652
Pu -0.9011 0.9138 6.0453
Pu 6.1459 2.7415 3.6073
N -1.0724 0.9138 8.0827
N 0.1534 2.7415 6.0606
N 2.8360 2.7415 1.0234
N 2.4088 0.9138 8.6292
N 5.0915 0.9138 3.5920
N 6.3172 2.7415 1.5699

=====

# 6
12
Lattice="6.4742 0.0000 0.0000 0.0000 3.5625 0.0000 -2.3044 0.0000 8.3841" Properties=species:S:1:pos:R:3 comment="GGA-PBE SrPuZnN3, optimized geometry" spacegroup=P2_1/m vol_a3_per_atom=16.1 dft_energy_ha_per_atom=-0.2842 formation_energy_uncorrected_mev_per_atom=-691 n_ef_per_ev_atom=0.957 magnetic_moment_mub_per_cell=6.000 pbc="T T T"
Sr 0.5618 0.8906 1.6727
Sr 3.6080 2.6718 6.7115
Pu 0.4055 0.8906 6.9937
Pu 3.7643 2.6718 1.3905
Zn -0.2735 2.6718 4.6784
Zn 4.4434 0.8906 3.7057
N -1.3504 0.8906 5.5841
N -0.3577 2.6718 8.3146
N 1.1988 2.6718 5.9764
N 2.9711 0.8906 2.4078
N 4.5276 0.8906 0.0696
N 5.5203 2.6718 2.8001

=====

# 7
12
Lattice="7.5309 -1.7075 0.0000 7.5309 1.7075 0.0000 -1.4485 0.0000 6.7157" Properties=species:S:1:pos:R:3 comment="GGA-PBE SrPu3Zr2N6, optimized geometry" spacegroup=C2/m vol_a3_per_atom=14.4 dft_energy_ha_per_atom=-0.3899 formation_energy_uncorrected_mev_per_atom=-1298 n_ef_per_ev_atom=1.621 magnetic_moment_mub_per_cell=5.845 pbc="T T T"
Sr 0.0000 0.0000 0.0000
Pu -0.7243 0.0000 3.3578
Pu 4.7597 0.0000 1.1192
Pu 8.8536 0.0000 5.5965
Zr 4.0088 0.0000 4.4136
Zr 9.6044 0.0000 2.3021
N 1.7384 0.0000 3.8679
N 2.5156 0.0000 0.6811
N 6.2918 0.0000 4.7663
N 7.3215 0.0000 1.9494
N 11.0977 0.0000 6.0346
N 11.8748 0.0000 2.8478

=====

# 8
13
Lattice="5.5964 -3.2079 0.0000 5.5964 3.2079 0.0000 -1.9164 0.0000 4.8435" Properties=species:S:1:pos:R:3 comment="GGA-PBE Pu2Ta3N8, optimized geometry" spacegroup=C2/m vol_a3_per_atom=13.4 dft_energy_ha_per_atom=-0.4058 formation_energy_uncorrected_mev_per_atom=-979 n_ef_per_ev_atom=1.093 magnetic_moment_mub_per_cell=7.000 pbc="T T T"
Pu 2.2704 0.0000 0.7581
Pu 7.0060 0.0000 4.0854
Ta 4.6382 1.7285 2.4217
Ta 5.5964 0.0000 0.0000
Ta 4.6382 -1.7285 2.4217
N 0.3434 0.0000 2.0070
N 4.0805 1.3824 0.4416
N 3.2689 0.0000 2.7945
N 5.1959 1.3824 4.4019
N 4.0805 -1.3824 0.4416
N 6.0076 0.0000 2.0490
N 5.1959 -1.3824 4.4019
N 8.9330 0.0000 2.8365

=====

# 9
4
Lattice="1.4890 0.8597 8.6880 -1.4890 0.8597 8.6880 0.0000 -1.7193 8.6880" Properties=species:S:1:pos:R:3 comment="GGA-PBE PuTa2N, optimized geometry" spacegroup=R-3m vol_a3_per_atom=16.7 dft_energy_ha_per_atom=-0.4287 formation_energy_uncorrected_mev_per_atom=-76 n_ef_per_ev_atom=1.668 magnetic_moment_mub_per_cell=5.274 pbc="T T T"
Pu 0.0000 0.0000 0.0000
Ta 0.0000 0.0000 2.9669
Ta 0.0000 0.0000 23.0973
N 0.0000 0.0000 13.0321

=====

# 10
24
Lattice="0.0000 4.6957 9.9855 3.3569 0.0000 9.9855 3.3569 4.6957 0.0000" Properties=species:S:1:pos:R:3 comment="GGA-PBE Pu2TaN3, optimized geometry" spacegroup=Fddd vol_a3_per_atom=13.1 dft_energy_ha_per_atom=-0.4465 formation_energy_uncorrected_mev_per_atom=-1235 n_ef_per_ev_atom=1.996 e_above_lowest_polymorph_mev_per_atom=0 magnetic_moment_mub_per_cell=0.600 pbc="T T T"
Pu 0.8392 1.1739 0.8536
Pu 2.5177 3.5217 2.4608
Pu 0.8392 1.1739 4.1392
Pu 4.1961 5.8696 7.4536
Pu 2.5177 3.5217 12.5175
Pu 5.8746 8.2174 15.8319
Pu 4.1961 5.8696 17.5103
Pu 5.8746 8.2174 19.1175
Ta 2.5177 3.5217 5.7917
Ta 2.5177 3.5217 9.1866
Ta 4.1961 5.8696 10.7844
Ta 4.1961 5.8696 14.1794
N 2.6204 1.2965 5.7332
N 3.9896 3.5217 7.4891
N 2.4149 1.2965 9.2451
N 4.0934 3.6443 10.7260
N 5.6681 5.8696 12.4819
N 4.2989 3.6443 14.2379
N 2.4149 5.7470 5.7332
N 1.0458 3.5217 7.4891
N 2.6204 5.7470 9.2451
N 4.2989 8.0949 10.7260
N 2.7242 5.8696 12.4819
N 4.0934 8.0949 14.2379

=====

# 11
14
Lattice="0.0000 4.5534 4.5534 4.5534 0.0000 4.5534 4.5534 4.5534 0.0000" Properties=species:S:1:pos:R:3 comment="GGA-PBE PuTa2N4, optimized geometry" spacegroup=Fd-3m vol_a3_per_atom=13.5 dft_energy_ha_per_atom=-0.4129 formation_energy_uncorrected_mev_per_atom=-1044 n_ef_per_ev_atom=1.652 e_above_lowest_polymorph_mev_per_atom=151 magnetic_moment_mub_per_cell=10.419 pbc="T T T"
Pu 1.1384 1.1384 1.1384
Pu 7.9685 7.9685 7.9685
Ta 4.5534 2.2767 2.2767
Ta 2.2767 4.5534 2.2767
Ta 2.2767 2.2767 4.5534
Ta 4.5534 4.5534 4.5534
N 2.4275 2.4275 2.4275
N 4.4027 4.4027 2.4275
N 4.4027 2.4275 4.4027
N 6.6794 4.7042 4.7042
N 2.4275 4.4027 4.4027
N 4.7042 6.6794 4.7042
N 4.7042 4.7042 6.6794
N 6.6794 6.6794 6.6794

=====

# 12
9
Lattice="5.5957 -1.9258 0.0000 5.5957 1.9258 0.0000 -3.7306 0.0000 5.5814" Properties=species:S:1:pos:R:3 comment="GGA-PBE Pu2Ta2N5, optimized geometry" spacegroup=C2/m vol_a3_per_atom=13.4 dft_energy_ha_per_atom=-0.4244 formation_energy_uncorrected_mev_per_atom=-1104 n_ef_per_ev_atom=1.514 magnetic_moment_mub_per_cell=10.237 pbc="T T T"
Pu -0.3821 0.0000 2.6653
Pu 7.8429 0.0000 2.9161
Ta 4.0475 0.0000 0.3901
Ta 3.4133 0.0000 5.1913
N -1.5952 0.0000 4.8006
N 1.4294 0.0000 4.2990
N 3.7304 0.0000 2.7907
N 6.0314 0.0000 1.2824
N 9.0560 0.0000 0.7808

=====

# 13
11
Lattice="2.7281 -4.7325 0.0000 2.7281 4.7325 0.0000 -1.7840 0.0000 5.4822" Properties=species:S:1:pos:R:3 comment="GGA-PBE Pu2Ta3N6, optimized geometry" spacegroup=C2/m vol_a3_per_atom=12.9 dft_energy_ha_per_atom=-0.4250 formation_energy_uncorrected_mev_per_atom=-1186 n_ef_per_ev_atom=1.263 magnetic_moment_mub_per_cell=8.745 pbc="T T T"
Pu 2.7281 3.1438 0.0000
Pu 2.7281 -3.1438 0.0000
Ta -0.8920 0.0000 2.7411
Ta 1.8361 1.4878 2.7411
Ta 1.8361 -1.4878 2.7411
N 0.0093 1.5954 3.9213
N 0.8962 0.0000 1.4985
N 0.0093 -1.5954 3.9213
N 3.6629 1.5954 1.5610
N 2.7760 0.0000 3.9838
N 3.6629 -1.5954 1.5610

=====

# 14
14
Lattice="1.5706 -5.1437 0.0000 1.5706 5.1437 0.0000 0.0000 0.0000 10.3843" Properties=species:S:1:pos:R:3 comment="GGA-PBE PuTa2N4, optimized geometry" spacegroup=Cmcm vol_a3_per_atom=12.0 dft_energy_ha_per_atom=-0.4184 formation_energy_uncorrected_mev_per_atom=-1195 n_ef_per_ev_atom=1.298 e_above_lowest_polymorph_mev_per_atom=0 magnetic_moment_mub_per_cell=9.923 pbc="T T T"
Pu 1.5706 3.9652 7.7882
Pu 1.5706 -3.9652 2.5961
Ta 1.5706 1.3311 5.8839
Ta 1.5706 1.3311 9.6925
Ta 1.5706 -1.3311 0.6918
Ta 1.5706 -1.3311 4.5003
N 0.0000 0.0000 0.0000
N 0.0000 0.0000 5.1921
N 1.5706 2.4189 1.1776
N 1.5706 2.4189 4.0145
N 1.5706 0.6234 7.7882
N 1.5706 -0.6234 2.5961
N 1.5706 -2.4189 6.3698
N 1.5706 -2.4189 9.2066

=====

# 15
12
Lattice="2.9524 -5.1144 0.0000 2.9524 5.1144 0.0000 -1.9572 0.0000 5.5162" Properties=species:S:1:pos:R:3 comment="GGA-PBE Pu5TaN6, optimized geometry" spacegroup=C2/m vol_a3_per_atom=13.9 dft_energy_ha_per_atom=-0.4541 formation_energy_uncorrected_mev_per_atom=-1235 n_ef_per_ev_atom=2.285 magnetic_moment_mub_per_cell=4.981 pbc="T T T"
Pu 0.0000 0.0000 0.0000
Pu 1.9738 3.4114 2.7581
Pu 2.9524 1.7116 0.0000
Pu 2.9524 -1.7116 0.0000
Pu 1.9738 -3.4114 2.7581
Ta 1.9738 0.0000 2.7581
N 1.0575 1.5849 1.4724
N 0.1399 0.0000 4.0601
N 1.0575 -1.5849 1.4724
N 2.8902 1.5849 4.0437
N 3.8078 0.0000 1.4560
N 2.8902 -1.5849 4.0437

=====

# 16
22
Lattice="1.5706 -5.1761 0.0000 1.5706 5.1761 0.0000 0.0000 0.0000 15.6244" Properties=species:S:1:pos:R:3 comment="GGA-PBE PuTa4N6, optimized geometry" spacegroup=Cmcm vol_a3_per_atom=11.5 dft_energy_ha_per_atom=-0.4142 formation_energy_uncorrected_mev_per_atom=-1117 n_ef_per_ev_atom=0.789 magnetic_moment_mub_per_cell=9.485 pbc="T T T"
Pu 1.5706 3.5344 11.7183
Pu 1.5706 -3.5344 3.9061
Ta 1.5706 4.1199 2.0266
Ta 1.5706 4.1199 5.7856
Ta 1.5706 1.4978 0.6736
Ta 1.5706 1.4978 7.1387
Ta 1.5706 -1.4978 8.4858
Ta 1.5706 -1.4978 14.9509
Ta 1.5706 -4.1199 9.8388
Ta 1.5706 -4.1199 13.5978
N 0.0000 0.0000 0.0000
N 0.0000 0.0000 7.8122
N 1.5706 3.4510 3.9061
N 1.5706 2.4469 9.2797
N 1.5706 2.4469 14.1570
N 1.5706 0.3513 2.4559
N 1.5706 0.3513 5.3563
N 1.5706 -0.3513 10.2681
N 1.5706 -0.3513 13.1685
N 1.5706 -2.4469 1.4675
N 1.5706 -2.4469 6.3447
N 1.5706 -3.4510 11.7183

=====

# 17
4
Lattice="1.5955 0.9212 5.7844 -1.5955 0.9212 5.7844 0.0000 -1.8423 5.7844" Properties=species:S:1:pos:R:3 comment="GGA-PBE PuTaN2, optimized geometry" spacegroup=R3m vol_a3_per_atom=12.8 dft_energy_ha_per_atom=-0.4336 formation_energy_uncorrected_mev_per_atom=-1089 n_ef_per_ev_atom=1.804 magnetic_moment_mub_per_cell=5.014 pbc="T T T"
Pu 0.0000 0.0000 0.0000
Ta 0.0000 0.0000 3.0442
N 0.0000 0.0000 10.0007
N 0.0000 0.0000 13.3746

=====

# 18
16
Lattice="6.8314 0.0000 0.0000 0.0000 3.0651 0.0000 0.0000 0.0000 10.5173" Properties=species:S:1:pos:R:3 comment="GGA-PBE PuTaN2, optimized geometry" spacegroup=Pnma vol_a3_per_atom=13.8 dft_energy_ha_per_atom=-0.4210 formation_energy_uncorrected_mev_per_atom=-748 n_ef_per_ev_atom=0.905 magnetic_moment_mub_per_cell=0.003 pbc="T T T"
Pu 0.1197 0.7663 0.8820
Pu 3.2960 2.2988 6.1406
Pu 3.5354 0.7663 4.3767
Pu 6.7117 2.2988 9.6353
Ta 0.1382 2.2988 6.5577
Ta 3.2775 0.7663 1.2991
Ta 3.5539 2.2988 9.2182
Ta 6.6932 0.7663 3.9596
N 0.0995 2.2988 2.5482
N 1.2680 0.7663 5.4412
N 2.1477 2.2988 0.1825
N 3.3162 0.7663 7.8068
N 3.5152 2.2988 2.7105
N 4.6837 0.7663 10.3348
N 5.5634 2.2988 5.0761
N 6.7319 0.7663 7.9691

=====

# 19
20
Lattice="8.7213 0.0000 0.0000 0.0000 3.1412 0.0000 -2.7004 0.0000 8.4546" Properties=species:S:1:pos:R:3 comment="GGA-PBE PuTa3N6, optimized geometry" spacegroup=P2_1/m vol_a3_per_atom=11.6 dft_energy_ha_per_atom=-0.4065 formation_energy_uncorrected_mev_per_atom=-1077 n_ef_per_ev_atom=0.694 magnetic_moment_mub_per_cell=9.132 pbc="T T T"
Pu 0.0088 0.7853 1.6298
Pu 6.0121 2.3559 6.8248
Ta -0.1880 0.7853 4.9723
Ta 0.1267 2.3559 8.3593
Ta 3.0566 0.7853 2.7876
Ta 2.9643 2.3559 5.6670
Ta 5.8942 0.7853 0.0954
Ta 6.2089 2.3559 3.4823
N -0.4135 2.3559 3.5148
N -1.4014 0.7853 8.1541
N -0.2001 2.3559 6.3147
N 1.8660 2.3559 2.0204
N 1.9189 0.7853 4.6996
N 3.8728 0.7853 0.9134
N 2.1481 2.3559 7.5413
N 4.1020 2.3559 3.7550
N 4.1549 0.7853 6.4342
N 6.2210 0.7853 2.1399
N 7.4223 2.3559 0.3005
N 6.4344 0.7853 4.9398

=====

# 20
16
Lattice="5.8766 0.0000 0.0000 0.0000 6.7200 0.0000 -1.9335 0.0000 5.4875" Properties=species:S:1:pos:R:3 comment="GGA-PBE Pu3TaN4, optimized geometry" spacegroup=P2/c vol_a3_per_atom=13.5 dft_energy_ha_per_atom=-0.4499 formation_energy_uncorrected_mev_per_atom=-1224 n_ef_per_ev_atom=2.525 magnetic_moment_mub_per_cell=9.137 pbc="T T T"
Pu -0.4834 0.8188 1.3719
Pu -1.4501 2.4943 4.1157
Pu -0.4834 4.2257 1.3719
Pu -1.4501 5.9012 4.1157
Pu 2.4549 2.5088 1.3719
Pu 1.4882 4.2112 4.1157
Ta 1.4882 0.8158 4.1157
Ta 2.4549 5.9042 1.3719
N 0.5870 2.4325 2.8476
N 1.5538 4.2875 0.1038
N 1.6348 0.7472 0.0008
N 0.6681 5.9728 2.7446
N 3.2751 0.7472 2.7430
N 2.3083 5.9728 5.4867
N 2.3894 2.4325 5.3837
N 3.3561 4.2875 2.6400